Density functional theory data (GGA+U) for a geometry-optimized ScBi3Mo2O12 structure.

Cell lengths 10.428, 10.428, 5.380 Å; angles 77.89, 77.89, 68.81 degrees
Positions (direct):
O 0.205 0.295 0.135
O 0.447 0.360 0.225
Bi 0.335 0.665 0.250
O 0.795 0.705 0.865
Mo 0.459 0.202 0.431
O 0.106 0.059 0.416
O 0.833 0.403 0.872
O 0.155 0.747 0.533
O 0.403 0.833 0.372
Bi 0.962 0.729 0.437
O 0.553 0.640 0.775
Bi 0.038 0.271 0.563
Mo 0.202 0.459 0.931
O 0.941 0.894 0.084
Bi 0.271 0.038 0.063
O 0.059 0.106 0.916
O 0.070 0.498 0.733
O 0.502 0.930 0.767
Sc 0.911 0.089 0.250
O 0.167 0.597 0.128
O 0.597 0.167 0.628
O 0.640 0.553 0.275
O 0.845 0.253 0.467
Sc 0.089 0.911 0.750
O 0.894 0.941 0.584
O 0.930 0.502 0.267
O 0.705 0.795 0.365
Mo 0.541 0.798 0.569
O 0.295 0.205 0.635
Bi 0.729 0.962 0.937
Bi 0.665 0.335 0.750
O 0.360 0.447 0.725
O 0.253 0.845 0.967
O 0.747 0.155 0.033
Mo 0.798 0.541 0.069
O 0.498 0.070 0.233

Results
As for the total energy: -6.86 eV/atom. The magnetization comes out at 0.000 μB/atom.